# 1
Entry from Alexandria via LeMat-Bulk: a geometry-optimized TbNdEr2Tl2 structure (PBE-GGA).

The structure in CIF format:
```
data_TbNdEr2Tl2
_cell_length_a 5.130
_cell_length_b 10.058
_cell_length_c 6.805
_cell_angle_alpha 90.00
_cell_angle_beta 90.00
_cell_angle_gamma 90.00
_space_group_name_H-M_alt 'P m c 21'
_space_group_IT_number 26
_space_group_name_Hall 'P 2c -2'
loop_
_atom_site_label
_atom_site_fract_x
_atom_site_fract_y
_atom_site_fract_z
Tb1 0.000 0.192 0.000
Nd1 0.500 0.041 0.276
Er1 0.000 0.458 0.368
Er2 0.500 0.318 0.652
Tl1 0.000 0.142 0.536
Tl2 0.500 0.370 0.115
```

Properties
D(E_F) = 0.989 states/eV/atom
calculated formation energy = -265 meV/atom
final energy = -4.141 eV/atom

# 2
Entry from Alexandria via LeMat-Bulk: a geometry-optimized TbNdEr2Tl4 structure (PBE-GGA).

The structure in CIF format:
```
data_TbNdEr2Tl4
_cell_length_a 5.3913
_cell_length_b 5.3913
_cell_length_c 26.5000
_cell_angle_alpha 90.00
_cell_angle_beta 90.00
_cell_angle_gamma 120.00
_space_group_name_H-M_alt 'R -3 m'
_space_group_IT_number 166
_space_group_name_Hall '-R 3 2"'
loop_
_atom_site_label
_atom_site_fract_x
_atom_site_fract_y
_atom_site_fract_z
Tb1 0.0000 0.0000 0.0000
Nd1 0.0000 0.0000 0.5000
Er1 0.0000 0.0000 0.2504
Tl1 0.0000 0.0000 0.1236
Tl2 0.0000 0.0000 0.3737
```

Properties
D(E_F) = 0.818 states/eV/atom
calculated formation energy = -338 meV/atom
final energy = -3.836 eV/atom

# 3
Entry from Alexandria via LeMat-Bulk: a geometry-optimized Tb2NdErTl2 structure (PBE-GGA).

The structure in CIF format:
```
data_Tb2NdErTl2
_cell_length_a 5.142
_cell_length_b 10.057
_cell_length_c 6.871
_cell_angle_alpha 90.00
_cell_angle_beta 90.00
_cell_angle_gamma 90.00
_space_group_name_H-M_alt 'P m c 21'
_space_group_IT_number 26
_space_group_name_Hall 'P 2c -2'
loop_
_atom_site_label
_atom_site_fract_x
_atom_site_fract_y
_atom_site_fract_z
Tb1 0.000 0.045 0.000
Tb2 0.500 0.183 0.285
Nd1 0.500 0.456 0.907
Er1 0.000 0.308 0.627
Tl1 0.000 0.365 0.171
Tl2 0.500 0.135 0.745
```

Properties
D(E_F) = 1.015 states/eV/atom
calculated formation energy = -268 meV/atom
final energy = -4.156 eV/atom